1.
Below is a relaxed B2C crystal, with properties calculated at the PBE level.

Summary:
offset from the most stable computed form = 299 meV per atom
V = 94.9 Å³/cell
DOS(E_F) = 0.12 states/eV per cell
M_tot = 0.0 μB per cell

Unit cell a=4.308 b=4.371 c=5.507 alpha=95.47 beta=111.10 gamma=96.97
Space group P1 (No. 1)
Unique sites:
B 0.000 0.000 0.000
B 0.021 0.984 0.679
B 0.299 0.308 0.217
B 0.383 0.055 0.980
B 0.429 0.473 0.734
B 0.605 0.990 0.604
B 0.655 0.787 0.019
B 0.838 0.221 0.194
C 0.344 0.813 0.699
C 0.541 0.427 0.054
C 0.550 0.318 0.517
C 0.864 0.218 0.494

2.
Below is a relaxed La2Nd5Tm crystal, with properties calculated at the PBE level.

Summary:
V = 560.4 Å³/cell
DOS(E_F) = 24.15 states/eV per cell
M_tot = 0.0 μB per cell
DFT total energy = -4.755 eV per atom

Unit cell a=7.337 b=14.728 c=5.186 alpha=90.00 beta=90.00 gamma=90.00
Space group Pbam (No. 55)
Unique sites:
La 0.248 0.124 0.000
Nd 0.000 0.500 0.500
Nd 0.003 0.752 0.500
Nd 0.249 0.376 0.000
Tm 0.000 0.000 0.500

3.
Below is a relaxed Sr4Li2Rh crystal, with properties calculated at the PBE level.

Summary:
offset from the most stable computed form = 73 meV per atom
V = 589.0 Å³/cell
DOS(E_F) = 10.54 states/eV per cell
M_tot = 0.0 μB per cell

Unit cell a=5.782 b=5.782 c=17.616 alpha=90.00 beta=90.00 gamma=90.00
Space group I4/mmm (No. 139)
Unique sites:
Sr 0.000 0.000 0.170
Sr 0.000 0.500 0.000
Li 0.000 0.000 0.373
Rh 0.000 0.000 0.000

4.
Below is a relaxed HgIrBr2 crystal, with properties calculated at the PBE level.

Summary:
offset from the most stable computed form = 671 meV per atom
V = 198.3 Å³/cell
formation energy (no corrections) = 0.75 eV/atom
DOS(E_F) = 8.62 states/eV per cell
M_tot = 1.3 μB per cell

Unit cell a=6.647 b=7.714 c=5.093 alpha=90.00 beta=130.60 gamma=90.00
Space group C2/m (No. 12)
Unique sites:
Hg 0.000 0.000 0.000
Ir 0.000 0.500 0.000
Br 0.250 0.250 0.500

5.
Below is a relaxed SiHgSb2 crystal, with properties calculated at the PBE level.

Summary:
V = 193.3 Å³/cell
formation energy (no corrections) = 0.44 eV/atom
DOS(E_F) = 5.59 states/eV per cell
M_tot = 0.0 μB per cell

Unit cell a=7.764 b=7.773 c=3.203 alpha=90.00 beta=90.00 gamma=90.00
Space group Cmmm (No. 65)
Unique sites:
Si 0.000 0.000 0.000
Hg 0.000 0.500 0.000
Sb 0.250 0.250 0.500

6.
Below is a relaxed NdTlAg crystal, with properties calculated at the PBE level.

Summary:
V = 341.0 Å³/cell
DOS(E_F) = 17.02 states/eV per cell
M_tot = 0.0 μB per cell
DFT total energy = -3.537 eV per atom

Unit cell a=6.987 b=6.987 c=6.987 alpha=90.00 beta=90.00 gamma=90.00
Space group F-43m (No. 216)
Unique sites:
Nd 0.000 0.000 0.000
Tl 0.000 0.000 0.500
Ag 0.250 0.250 0.750

7.
Below is a relaxed CaTiRu2 crystal, with properties calculated at the PBE level.

Summary:
offset from the most stable computed form = 559 meV per atom
V = 365.5 Å³/cell
DOS(E_F) = 22.07 states/eV per cell
M_tot = 0.0 μB per cell

Unit cell a=4.701 b=4.701 c=16.540 alpha=90.00 beta=90.00 gamma=90.00
Space group I-42d (No. 122)
Unique sites:
Ca 0.000 0.000 0.000
Ti 0.000 0.000 0.500
Ru 0.095 0.250 0.625

8.
Below is a relaxed PaPd2Au2 crystal, with properties calculated at the PBE level.

Summary:
offset from the most stable computed form = 22 meV per atom
V = 385.3 Å³/cell
DOS(E_F) = 16.64 states/eV per cell
M_tot = 0.0 μB per cell

Unit cell a=7.623 b=7.334 c=6.988 alpha=90.00 beta=99.53 gamma=90.00
Space group C2/c (No. 15)
Unique sites:
Pa 0.000 0.156 0.250
Pd 0.129 0.215 0.642
Au 0.183 0.433 0.989

9.
Below is a relaxed K2NpZnO4 crystal, with properties calculated at the PBE level.

Summary:
V = 127.4 Å³/cell
formation energy (no corrections) = -1.95 eV/atom
DOS(E_F) = 4.80 states/eV per cell
M_tot = 3.0 μB per cell

Unit cell a=5.546 b=3.659 c=6.457 alpha=90.00 beta=103.44 gamma=90.00
Space group P2/m (No. 10)
Unique sites:
K 0.000 0.000 0.000
K 0.500 0.500 0.000
Np 0.000 0.500 0.500
Zn 0.500 0.000 0.500
O 0.224 0.500 0.287
O 0.253 0.000 0.673

10.
Below is a relaxed Be2SnPd crystal, with properties calculated at the PBE level.

Summary:
offset from the most stable computed form = 202 meV per atom
V = 251.8 Å³/cell
DOS(E_F) = 7.00 states/eV per cell
M_tot = 0.0 μB per cell

Unit cell a=6.789 b=6.789 c=5.463 alpha=90.00 beta=90.00 gamma=90.00
Space group I-42d (No. 122)
Unique sites:
Be 0.206 0.250 0.125
Sn 0.000 0.000 0.500
Pd 0.000 0.000 0.000

11.
Below is a relaxed CdAsP2S crystal, with properties calculated at the PBE level.

Summary:
offset from the most stable computed form = 521 meV per atom
V = 118.8 Å³/cell
formation energy (no corrections) = 1.29 eV/atom
DOS(E_F) = 4.61 states/eV per cell
M_tot = 0.5 μB per cell

Unit cell a=4.944 b=4.944 c=4.858 alpha=90.00 beta=90.00 gamma=90.00
Space group P4/mmm (No. 123)
Unique sites:
Cd 0.000 0.000 0.000
As 0.500 0.500 0.500
P 0.000 0.500 0.000
S 0.000 0.000 0.500

12.
Below is a relaxed BaTl2PdI crystal, with properties calculated at the PBE level.

Summary:
V = 181.2 Å³/cell
formation energy (no corrections) = -0.59 eV/atom
DOS(E_F) = 3.02 states/eV per cell
M_tot = 0.0 μB per cell

Unit cell a=5.361 b=5.361 c=6.302 alpha=90.00 beta=90.00 gamma=90.00
Space group P4/mmm (No. 123)
Unique sites:
Ba 0.000 0.000 0.000
Tl 0.000 0.500 0.500
Pd 0.000 0.000 0.500
I 0.500 0.500 0.000

Copy entry 4 word for word.
Below is a relaxed HgIrBr2 crystal, with properties calculated at the PBE level.

Summary:
offset from the most stable computed form = 671 meV per atom
V = 198.3 Å³/cell
formation energy (no corrections) = 0.75 eV/atom
DOS(E_F) = 8.62 states/eV per cell
M_tot = 1.3 μB per cell

Unit cell a=6.647 b=7.714 c=5.093 alpha=90.00 beta=130.60 gamma=90.00
Space group C2/m (No. 12)
Unique sites:
Hg 0.000 0.000 0.000
Ir 0.000 0.500 0.000
Br 0.250 0.250 0.500

> What is the V in the sixth record?

341.0 Å³/cell

> What is the formula in the sixth record?

NdTlAg

> The lowest V belongs to which entry?

B2C